VASP calculation (PBE with a Hubbard U) on crystalline Tb2CrF8 at its relaxed geometry.

Properties
- Magnetic moment: 0.364 μB/atom
- Energy above the lowest structure with this stoichiometry: 0.000 eV per atom

Cell lengths 9.710, 7.155, 4.682 Å; angles 90.00, 106.74, 90.00 degrees
Space group C2/m (No. 12)
Unique sites:
Tb1 0.175 0.000 0.393 [4 per cell]
Cr1 0.000 0.500 0.000 [2 per cell]
F1 0.074 0.000 0.789 [4 per cell]
F2 0.134 0.500 0.753 [4 per cell]
F3 0.157 0.305 0.271 [8 per cell]